Entry 1:
A relaxed structure of LaSm10Tm4. Source: Alexandria via LeMat-Bulk, functional PBE.

Structure (POSCAR):
```
LaSm10Tm4
1.0
-6.350 6.350 3.394
6.350 -6.350 3.394
6.350 6.350 -3.394
La Sm Tm
1 10 4
direct
0.000 0.000 0.000
0.042 0.625 0.161
0.119 0.958 0.583
0.250 0.750 0.500
0.375 0.536 0.417
0.464 0.881 0.839
0.536 0.119 0.161
0.625 0.464 0.583
0.750 0.250 0.500
0.881 0.042 0.417
0.958 0.375 0.839
0.323 0.432 0.755
0.432 0.677 0.109
0.568 0.323 0.891
0.677 0.568 0.245
```

Results
- final energy (eV per cell) = -62.17
- formation energy from the elements (eV per atom) = 0.52
- space-group type = I4/m, No. 87



Entry 2:
A relaxed structure of La2TiBiF. Source: Alexandria via LeMat-Bulk, functional PBE.

Structure (POSCAR):
```
La2TiBiF
1.0
6.330 0.000 0.000
0.000 6.330 0.000
0.000 0.000 4.438
La Ti Bi F
2 1 1 1
direct
0.000 0.500 0.000
0.500 0.000 0.000
0.000 0.000 0.500
0.500 0.500 0.000
0.500 0.500 0.500
```

Results
- final energy (eV per cell) = -23.23
- uncorrected formation energy (meV/atom) = 54
- space-group type = P4/mmm, No. 123



N(E_F) list, top to bottom, in states/eV/cell: 28.1 12.3